Here is a relaxed structure of SnSb2TeO from Alexandria via LeMat-Bulk. Energies are from PBE.

Properties
The crystal system is tetragonal. Its energy relative to the elements, uncorrected is -0.0183 eV per atom. For the distance to the lowest polymorph of the same formula, the calculation gives 0 meV/atom. Its density of states at the Fermi level is 0.446 states/eV/atom.

The structure in CIF format:
```
data_SnSb2TeO
_cell_length_a 4.780
_cell_length_b 4.780
_cell_length_c 5.197
_cell_angle_alpha 90.00
_cell_angle_beta 90.00
_cell_angle_gamma 90.00
_space_group_name_H-M_alt 'P 4/m m m'
_space_group_IT_number 123
_space_group_name_Hall '-P 4 2'
loop_
_atom_site_label
_atom_site_type_symbol
_atom_site_fract_x
_atom_site_fract_y
_atom_site_fract_z
_atom_site_occupancy
Sn1 Sn 0.000 0.000 0.000 1
Sb1 Sb 0.000 0.500 0.500 1
Te1 Te 0.500 0.500 0.000 1
O1 O 0.500 0.500 0.500 1
```